An optimized crystal structure of Na2NiHgF6. Source: Alexandria via LeMat-Bulk, functional PBE+U.

## Properties
E_tot in eV/atom: -3.856
N(E_F) in states/eV/atom: 0.000
Relative energy among the computed polymorphs in meV per atom: 0

```
Na2NiHgF6
1.0
-3.562 4.076 -1.513
-4.544 -3.336 1.710
0.480 3.204 7.526
F Hg Na Ni
12 2 4 2
direct
0.703 0.326 0.942
0.297 0.674 0.058
0.128 0.429 0.772
0.797 0.826 0.558
0.872 0.571 0.228
0.203 0.174 0.442
0.667 0.287 0.580
0.167 0.213 0.080
0.333 0.713 0.420
0.372 0.929 0.728
0.833 0.787 0.920
0.628 0.071 0.272
0.000 0.500 0.500
0.500 0.000 0.000
0.985 0.058 0.744
0.485 0.442 0.244
0.015 0.942 0.256
0.515 0.558 0.756
0.000 0.500 0.000
0.500 0.000 0.500
```